The following is a DFT calculation (PBE+U) of an optimized crystal structure of Fe3P4O14.

Results
- Electronic total energy: -7.161 eV per atom
- Spin magnetization: 56.0 μB/cell

a = 9.084 Å, b = 12.397 Å, c = 10.334 Å
α = 90.00°, β = 90.00°, γ = 90.00°
Space group Pnma (No. 62)
Unique sites:
Fe 0.247 0.250 0.120
Fe 0.250 0.011 0.122
P 0.073 0.127 0.866
P 0.086 0.133 0.381
O 0.049 0.250 0.821
O 0.079 0.580 0.109
O 0.083 0.631 0.629
O 0.129 0.250 0.437
O 0.147 0.051 0.474
O 0.154 0.072 0.756
O 0.159 0.126 0.246
O 0.165 0.131 0.992